The following is a DFT calculation (PBE-GGA) of a relaxed Na2Li2Pb crystal.

Lattice parameters (Å, degrees): 3.7577 3.7577 19.8643 90.00 90.00 90.00
With the nearest neighbours (Å) after each atom.
Space group I4/mmm (No. 139)
Asymmetric unit:
Na1 0.0000 0.0000 0.1072 (multiplicity 4)  4 Li 3.40, 4 Pb 3.40, 4 Na 3.76
Li1 0.0000 0.5000 0.2500 (multiplicity 4)  4 Li 2.66
Pb1 0.0000 0.0000 0.5000 (multiplicity 2)  8 Na 3.40, 4 Pb 3.76

## Properties
- Formation enthalpy at 0 K: 6.2 kJ/mol of atoms
- E above lowest polymorph: 163 meV/atom


The following is a DFT calculation (PBE-GGA) of a relaxed RbLiNb2Re crystal.

Lattice parameters (Å, degrees): 4.8472 4.8472 4.0482 90.00 90.00 90.00
With the nearest neighbours (Å) after each atom.
Space group P4/mmm (No. 123)
Asymmetric unit:
Rb1 0.0000 0.0000 0.0000 (multiplicity 1)  2 Li 2.02
Li1 0.0000 0.0000 0.5000 (multiplicity 1)  2 Rb 2.02
Nb1 0.0000 0.5000 0.5000 (multiplicity 2)  2 Li 2.42
Re1 0.5000 0.5000 0.0000 (multiplicity 1)  8 Nb 3.16, 4 Rb 3.43

## Properties
- Formation enthalpy at 0 K: 206.5 kJ/mol of atoms


The following is a DFT calculation (PBE-GGA) of a relaxed CaZnTeN2 crystal.

Lattice parameters (Å, degrees): 4.2499 4.2499 5.7173 90.00 90.00 90.00
With the nearest neighbours (Å) after each atom.
Space group P4/mmm (No. 123)
Asymmetric unit:
Ca1 0.0000 0.0000 0.0000 (multiplicity 1)  4 Te 3.01
Zn1 0.5000 0.5000 0.5000 (multiplicity 1)  4 N 2.12
Te1 0.5000 0.5000 0.0000 (multiplicity 1)  2 Zn 2.86, 4 Ca 3.01
N1 0.0000 0.5000 0.5000 (multiplicity 2)  2 Zn 2.12

## Properties
- E_form (uncorrected): 0.8036 eV/atom
- E above lowest polymorph: 0 meV/atom


The following is a DFT calculation (PBE-GGA) of a relaxed LiY2Cl crystal.

Lattice parameters (Å, degrees): 7.6964 7.6964 7.6964 90.00 90.00 90.00
With the nearest neighbours (Å) after each atom.
Space group F-43m (No. 216)
Asymmetric unit:
Li1 0.0000 0.0000 0.0000 (multiplicity 4)  4 Cl 3.33, 4 Y 3.33
Y1 0.0000 0.0000 0.5000 (multiplicity 4)  4 Y 3.33, 4 Cl 3.33
Y2 0.2500 0.2500 0.2500 (multiplicity 4)  4 Li 3.33, 4 Y 3.33
Cl1 0.2500 0.2500 0.7500 (multiplicity 4)  4 Y 3.33, 4 Li 3.33

## Properties
- E_form (uncorrected): 0.2462 eV/atom
- E above lowest polymorph: 885 meV/atom